# 1
Compound: Ni2Pd2Pb
Source: Alexandria via LeMat-Bulk
Functional: GGA-PBE
Structure: optimized geometry

Values from the calculation:
Space-group type   No. 139
Total magnetization   1.2 μB/f.u.
Formation energy   0.1573 eV per atom

Lattice parameters (Å, degrees): 3.4776 3.4776 7.2978 76.22 76.22 90.00
Atoms (fractional coordinates):
Pb  0.0000  0.0000  0.0000
Ni  0.7500  0.2500  0.5000
Ni  0.2500  0.7500  0.5000
Pd  0.3901  0.3901  0.2199
Pd  0.6099  0.6099  0.7801

---

# 2
Compound: PmNiPdPb
Source: Alexandria via LeMat-Bulk
Functional: GGA-PBE
Structure: optimized geometry

Values from the calculation:
Space-group type   No. 216
Total magnetization   0.0 μB/f.u.
Formation energy   -0.4047 eV per atom

Lattice parameters (Å, degrees): 4.8603 4.8603 4.8603 60.00 60.00 60.00
Atoms (fractional coordinates):
Pb  0.0000  0.0000  0.0000
Ni  0.2500  0.2500  0.2500
Pd  0.7500  0.7500  0.7500
Pm  0.5000  0.5000  0.5000

---

# 3
Compound: PrNiPdPb
Source: Alexandria via LeMat-Bulk
Functional: GGA-PBE
Structure: optimized geometry

Values from the calculation:
Space-group type   No. 216
Total magnetization   0.0 μB/f.u.
Formation energy   -0.3694 eV per atom

Lattice parameters (Å, degrees): 4.9060 4.9060 4.9060 60.00 60.00 60.00
Atoms (fractional coordinates):
Pb  0.5000  0.5000  0.5000
Pr  0.0000  0.0000  0.0000
Pd  0.7500  0.7500  0.7500
Ni  0.2500  0.2500  0.2500